Computed, not measured: MgScZn2 at its PBEsol-relaxed geometry at the meta-GGA SCAN level of DFT.

The structure in POSCAR format:
```
MgScZn2
1.0
-1.616 2.333 4.766
1.616 -2.333 4.766
1.616 2.333 -4.766
Mg Sc Zn
1 1 2
Cartesian
0.000 0.000 0.000
1.616 0.000 2.689
0.000 0.000 5.104
0.000 2.333 2.312
```

Values from the calculation:
Formation energy (meV/atom): -215
SG: Imm2
Total energy (eV per atom): -11.775
Magnetic moment (μB per formula unit): 0.0
Density (g cm⁻³): 4.62